Model A:
VASP calculation (PBE) on a relaxed SmMgAgTe3 crystal.

Output
Spin magnetization, μB/atom: 0.0004

abc: 8.3496 4.2205 10.1750
angles: 90.00 102.15 90.00
With the nearest neighbours (Å) after each atom.
Positions (direct):
Sm (0.1829, 0.2500, 0.1778)  6 Te 3.12-3.23, 2 Ag 3.48
Sm (0.8171, 0.7500, 0.8222)  6 Te 3.12-3.23, 2 Ag 3.48
Mg (0.2878, 0.7500, 0.7152)  6 Te 3.06-3.13, 1 Ag 3.38
Mg (0.7122, 0.2500, 0.2848)  6 Te 3.06-3.13, 1 Ag 3.38
Ag (0.4111, 0.7500, 0.4190)  4 Te 2.79-3.08, 2 Ag 2.89
Ag (0.5889, 0.2500, 0.5810)  4 Te 2.79-3.08, 2 Ag 2.89
Te (0.1003, 0.2500, 0.8531)  2 Mg 3.13, 3 Sm 3.14-3.23
Te (0.2131, 0.2500, 0.4932)  3 Ag 2.88-3.08, 2 Mg 3.06, 1 Sm 3.17
Te (0.4502, 0.7500, 0.1534)  1 Ag 2.79, 2 Sm 3.12
Te (0.5498, 0.2500, 0.8466)  1 Ag 2.79, 2 Sm 3.12
Te (0.7869, 0.7500, 0.5068)  3 Ag 2.88-3.08, 2 Mg 3.06, 1 Sm 3.17
Te (0.8997, 0.7500, 0.1469)  2 Mg 3.13, 3 Sm 3.14-3.23

=====

Model B:
VASP calculation (PBE) on a relaxed SmMgAgTe3 crystal.

Output
Spin magnetization, μB/atom: 0.0002

abc: 7.4580 7.4580 11.4575
angles: 90.00 90.00 147.38
With the nearest neighbours (Å) after each atom.
Positions (direct):
Sm (0.0000, 0.0000, 0.0000)  6 Te 3.13-3.30
Sm (0.0000, 0.0000, 0.5000)  6 Te 3.13-3.30
Mg (0.2225, 0.7775, 0.7500)  6 Te 3.09-3.14
Mg (0.7775, 0.2225, 0.2500)  6 Te 3.09-3.14
Ag (0.4802, 0.5198, 0.2500)  4 Te 2.79-2.84
Ag (0.5198, 0.4802, 0.7500)  4 Te 2.79-2.84
Te (0.1140, 0.8860, 0.2500)  2 Ag 2.84, 2 Mg 3.14
Te (0.3476, 0.6524, 0.0716)  1 Ag 2.79, 2 Mg 3.09
Te (0.3476, 0.6524, 0.4284)  1 Ag 2.79, 2 Mg 3.09
Te (0.6524, 0.3476, 0.5716)  1 Ag 2.79, 2 Mg 3.09
Te (0.6524, 0.3476, 0.9284)  1 Ag 2.79, 2 Mg 3.09
Te (0.8860, 0.1140, 0.7500)  2 Ag 2.84, 2 Mg 3.14

=====

Last place for stability: model B

=====

Model A:
VASP calculation (PBE) on a relaxed NaAgMoPt crystal.

Output
Spin magnetization, μB/atom: 0.0018

abc: 4.5296 4.5296 4.5296
angles: 60.00 60.00 60.00
With the nearest neighbours (Å) after each atom.
Positions (direct):
Na (0.0000, 0.0000, 0.0000)  4 Mo 2.77, 4 Ag 2.77
Ag (0.2500, 0.2500, 0.2500)  4 Na 2.77, 4 Pt 2.77
Mo (0.7500, 0.7500, 0.7500)  4 Na 2.77, 4 Pt 2.77
Pt (0.5000, 0.5000, 0.5000)  4 Mo 2.77, 4 Ag 2.77

=====

Model B:
VASP calculation (PBE) on a relaxed NaAgMoPt crystal.

Output
Spin magnetization, μB/atom: 0.0003

abc: 4.5726 4.5726 4.5726
angles: 60.00 60.00 60.00
With the nearest neighbours (Å) after each atom.
Positions (direct):
Na (0.0000, 0.0000, 0.0000)  4 Ag 2.80, 4 Pt 2.80
Ag (0.7500, 0.7500, 0.7500)  4 Na 2.80, 4 Mo 2.80
Mo (0.5000, 0.5000, 0.5000)  4 Pt 2.80, 4 Ag 2.80
Pt (0.2500, 0.2500, 0.2500)  4 Mo 2.80, 4 Na 2.80

=====

Last place for stability: model B

=====

Model A:
VASP calculation (PBE) on a relaxed TmAgMo crystal.

Output
Spin magnetization, μB/atom: 0.9743

abc: 4.6744 4.6744 4.6744
angles: 60.00 60.00 60.00
With the nearest neighbours (Å) after each atom.
Positions (direct):
Tm (0.0000, 0.0000, 0.0000)  4 Mo 2.86, 4 Ag 2.86
Ag (0.7500, 0.7500, 0.7500)  4 Tm 2.86
Mo (0.2500, 0.2500, 0.2500)  4 Tm 2.86

=====

Model B:
VASP calculation (PBE) on a relaxed TmAgMo crystal.

Output
Spin magnetization, μB/atom: 0.9545

abc: 4.6611 4.6611 4.6611
angles: 60.00 60.00 60.00
With the nearest neighbours (Å) after each atom.
Positions (direct):
Tm (0.0000, 0.0000, 0.0000)  4 Mo 2.85
Ag (0.5000, 0.5000, 0.5000)  4 Mo 2.85
Mo (0.7500, 0.7500, 0.7500)  4 Ag 2.85, 4 Tm 2.85

=====

Last place for stability: model A